--- w ---
A relaxed structure of ZrSb2PtI. Source: Alexandria, functional PBE-GGA.

a b c (Å): 5.5795 5.5795 5.4015
angles (deg): 90.00 90.00 90.00
Space group P4/mmm (No. 123)
One atom of each set of equivalent atoms:
Zr 0.0000 0.0000 0.0000 (multiplicity 1)
Sb 0.0000 0.5000 0.0000 (multiplicity 2)
Pt 0.5000 0.5000 0.5000 (multiplicity 1)
I 0.0000 0.0000 0.5000 (multiplicity 1)

--- x ---
A relaxed structure of ZrSb2PtI. Source: Alexandria, functional PBE-GGA.

a b c (Å): 5.2158 5.2158 5.3672
angles (deg): 90.00 90.00 90.00
Space group P4/mmm (No. 123)
One atom of each set of equivalent atoms:
Zr 0.0000 0.0000 0.0000 (multiplicity 1)
Sb 0.0000 0.5000 0.5000 (multiplicity 2)
Pt 0.5000 0.5000 0.5000 (multiplicity 1)
I 0.5000 0.5000 0.0000 (multiplicity 1)

Most stable pick: x. Distance to second place: 21.7 kJ/mol of atoms.

--- w ---
A relaxed structure of Sc2PtI. Source: Alexandria, functional PBE-GGA.

a b c (Å): 6.9764 6.9764 6.9764
angles (deg): 90.00 90.00 90.00
Space group Fm-3m (No. 225)
One atom of each set of equivalent atoms:
Sc 0.2500 0.2500 0.2500 (multiplicity 8)
Pt 0.0000 0.0000 0.0000 (multiplicity 4)
I 0.0000 0.0000 0.5000 (multiplicity 4)

--- x ---
A relaxed structure of Sc2PtI. Source: Alexandria, functional PBE-GGA.

a b c (Å): 4.0995 4.0995 24.5715
angles (deg): 90.00 90.00 120.00
Space group R-3m (No. 166, hexagonal axes)
One atom of each set of equivalent atoms:
Sc 0.0000 0.0000 0.1160 (multiplicity 6)
Pt 0.0000 0.0000 0.5000 (multiplicity 3)
I 0.0000 0.0000 0.0000 (multiplicity 3)

--- y ---
A relaxed structure of Sc2PtI. Source: Alexandria, functional PBE-GGA.

a b c (Å): 7.4051 7.4051 7.4197
angles (deg): 90.00 90.00 90.00
Space group I-42d (No. 122)
One atom of each set of equivalent atoms:
Sc 0.2085 0.7500 0.1250 (multiplicity 8)
Pt 0.0000 0.0000 0.0000 (multiplicity 4)
I 0.0000 0.0000 0.5000 (multiplicity 4)

Most stable pick: x. Distance to second place: 31.4 kJ/mol of atoms.

--- w ---
A relaxed structure of ScPtI2. Source: Alexandria, functional PBE-GGA.

a b c (Å): 6.5126 6.5126 12.3080
angles (deg): 90.00 90.00 90.00
Space group I-42d (No. 122)
One atom of each set of equivalent atoms:
Sc 0.0000 0.0000 0.0000 (multiplicity 4)
Pt 0.0000 0.0000 0.5000 (multiplicity 4)
I 0.2303 0.2500 0.6250 (multiplicity 8)

--- x ---
A relaxed structure of ScPtI2. Source: Alexandria, functional PBE-GGA.

a b c (Å): 7.2575 7.2575 7.2575
angles (deg): 90.00 90.00 90.00
Space group Fm-3m (No. 225)
One atom of each set of equivalent atoms:
Sc 0.0000 0.0000 0.0000 (multiplicity 4)
Pt 0.0000 0.0000 0.5000 (multiplicity 4)
I 0.2500 0.2500 0.2500 (multiplicity 8)

Most stable pick: w. Distance to second place: 1.2 kJ/mol of atoms.

--- w ---
A relaxed structure of ScTcPtI. Source: Alexandria, functional PBE-GGA.

a b c (Å): 7.1619 4.1171 6.8646
angles (deg): 90.00 90.34 90.00
Space group Cm (No. 8)
One atom of each set of equivalent atoms:
Sc 0.0000 0.0000 0.0000 (multiplicity 2)
Tc 0.3330 0.0000 0.6977 (multiplicity 2)
Pt 0.1660 0.5000 0.7937 (multiplicity 2)
I 0.3342 0.0000 0.2956 (multiplicity 2)

--- x ---
A relaxed structure of ScTcPtI. Source: Alexandria, functional PBE-GGA.

a b c (Å): 15.1178 3.4939 3.4940
angles (deg): 90.00 102.99 90.00
Space group Cm (No. 8)
One atom of each set of equivalent atoms:
Sc 0.0000 0.0000 0.0000 (multiplicity 2)
Tc 0.1124 0.5000 0.6097 (multiplicity 2)
Pt 0.1791 0.0000 0.1745 (multiplicity 2)
I 0.3795 0.0000 0.3824 (multiplicity 2)

--- y ---
A relaxed structure of ScTcPtI. Source: Alexandria, functional PBE-GGA.

a b c (Å): 7.1301 4.1102 7.3903
angles (deg): 90.00 109.09 90.00
Space group Cm (No. 8)
One atom of each set of equivalent atoms:
Sc 0.0000 0.0000 0.0000 (multiplicity 2)
Tc 0.4354 0.0000 0.3010 (multiplicity 2)
Pt 0.2366 0.5000 0.2081 (multiplicity 2)
I 0.0660 0.5000 0.6995 (multiplicity 2)

Most stable pick: w. Distance to second place: 3.8 kJ/mol of atoms.

--- w ---
A relaxed structure of ScTcPtI. Source: Alexandria, functional PBE-GGA.

a b c (Å): 6.9499 4.0311 7.9776
angles (deg): 90.00 114.34 90.00
Space group Cm (No. 8)
One atom of each set of equivalent atoms:
Sc 0.0000 0.0000 0.0000 (multiplicity 2)
Tc 0.3413 0.5000 0.6517 (multiplicity 2)
Pt 0.2225 0.0000 0.7578 (multiplicity 2)
I 0.4693 0.0000 0.2702 (multiplicity 2)

--- x ---
A relaxed structure of ScTcPtI. Source: Alexandria, functional PBE-GGA.

a b c (Å): 4.0829 4.0829 5.9496
angles (deg): 90.00 90.00 120.00
Space group P3m1 (No. 156)
One atom of each set of equivalent atoms:
Sc 0.0000 0.0000 0.0000 (multiplicity 1)
Tc 0.0000 0.0000 0.4464 (multiplicity 1)
Pt 0.6667 0.3333 0.2402 (multiplicity 1)
I 0.3333 0.6667 0.6635 (multiplicity 1)

Most stable pick: x. Distance to second place: 3.7 kJ/mol of atoms.

--- w ---
A relaxed structure of PtSe2I. Source: Alexandria, functional PBE-GGA.

a b c (Å): 6.9757 6.9757 6.9757
angles (deg): 90.00 90.00 90.00
Space group Fm-3m (No. 225)
One atom of each set of equivalent atoms:
Pt 0.0000 0.0000 0.0000 (multiplicity 4)
Se 0.2500 0.2500 0.2500 (multiplicity 8)
I 0.0000 0.0000 0.5000 (multiplicity 4)

--- x ---
A relaxed structure of PtSe2I. Source: Alexandria, functional PBE-GGA.

a b c (Å): 3.9506 3.9506 24.3506
angles (deg): 90.00 90.00 120.00
Space group R-3m (No. 166, hexagonal axes)
One atom of each set of equivalent atoms:
Pt 0.0000 0.0000 0.0000 (multiplicity 3)
Se 0.0000 0.0000 0.3833 (multiplicity 6)
I 0.0000 0.0000 0.5000 (multiplicity 3)

--- y ---
A relaxed structure of PtSe2I. Source: Alexandria, functional PBE-GGA.

a b c (Å): 7.1168 7.1168 9.0261
angles (deg): 90.00 90.00 90.00
Space group I-42d (No. 122)
One atom of each set of equivalent atoms:
Pt 0.0000 0.0000 0.0000 (multiplicity 4)
Se 0.1692 0.2500 0.1250 (multiplicity 8)
I 0.0000 0.0000 0.5000 (multiplicity 4)

Most stable pick: x. Distance to second place: 33.5 kJ/mol of atoms.

--- w ---
A relaxed structure of Pt3SeI. Source: Alexandria, functional PBE-GGA.

a b c (Å): 5.0036 5.0036 5.0036
angles (deg): 90.00 90.00 90.00
Space group Pm-3m (No. 221)
One atom of each set of equivalent atoms:
Pt 0.0000 0.0000 0.5000 (multiplicity 3)
Se 0.5000 0.5000 0.5000 (multiplicity 1)
I 0.0000 0.0000 0.0000 (multiplicity 1)

--- x ---
A relaxed structure of Pt3SeI. Source: Alexandria, functional PBE-GGA.

a b c (Å): 4.8186 4.8186 4.8186
angles (deg): 90.00 90.00 90.00
Space group Pm-3m (No. 221)
One atom of each set of equivalent atoms:
Pt 0.0000 0.0000 0.5000 (multiplicity 3)
Se 0.0000 0.0000 0.0000 (multiplicity 1)
I 0.5000 0.5000 0.5000 (multiplicity 1)

Most stable pick: x. Distance to second place: 56.0 kJ/mol of atoms.

--- w ---
A relaxed structure of PtSeI2. Source: Alexandria, functional PBE-GGA.

a b c (Å): 7.2595 7.2595 7.2595
angles (deg): 90.00 90.00 90.00
Space group Fm-3m (No. 225)
One atom of each set of equivalent atoms:
Pt 0.0000 0.0000 0.0000 (multiplicity 4)
Se 0.0000 0.0000 0.5000 (multiplicity 4)
I 0.2500 0.2500 0.2500 (multiplicity 8)

--- x ---
A relaxed structure of PtSeI2. Source: Alexandria, functional PBE-GGA.

a b c (Å): 7.6383 7.6383 7.8823
angles (deg): 90.00 90.00 90.00
Space group I-42d (No. 122)
One atom of each set of equivalent atoms:
Pt 0.0000 0.0000 0.0000 (multiplicity 4)
Se 0.0000 0.0000 0.5000 (multiplicity 4)
I 0.2092 0.2500 0.1250 (multiplicity 8)

Most stable pick: x. Distance to second place: 35.6 kJ/mol of atoms.

--- w ---
A relaxed structure of Te2PtSeI. Source: Alexandria, functional PBE-GGA.

a b c (Å): 5.4978 5.4978 5.3258
angles (deg): 90.00 90.00 90.00
Space group P4/mmm (No. 123)
One atom of each set of equivalent atoms:
Te 0.0000 0.5000 0.0000 (multiplicity 2)
Pt 0.0000 0.0000 0.5000 (multiplicity 1)
Se 0.5000 0.5000 0.0000 (multiplicity 1)
I 0.5000 0.5000 0.5000 (multiplicity 1)

--- x ---
A relaxed structure of Te2PtSeI. Source: Alexandria, functional PBE-GGA.

a b c (Å): 5.3243 5.3243 5.3752
angles (deg): 90.00 90.00 90.00
Space group P4/mmm (No. 123)
One atom of each set of equivalent atoms:
Te 0.0000 0.5000 0.0000 (multiplicity 2)
Pt 0.0000 0.0000 0.0000 (multiplicity 1)
Se 0.5000 0.5000 0.5000 (multiplicity 1)
I 0.0000 0.0000 0.5000 (multiplicity 1)

Most stable pick: x. Distance to second place: 55.4 kJ/mol of atoms.

--- w ---
A relaxed structure of SiPt3I. Source: Alexandria, functional PBE-GGA.

a b c (Å): 4.6603 4.6603 4.6603
angles (deg): 90.00 90.00 90.00
Space group Pm-3m (No. 221)
One atom of each set of equivalent atoms:
Si 0.0000 0.0000 0.0000 (multiplicity 1)
Pt 0.0000 0.0000 0.5000 (multiplicity 3)
I 0.5000 0.5000 0.5000 (multiplicity 1)

--- x ---
A relaxed structure of SiPt3I. Source: Alexandria, functional PBE-GGA.

a b c (Å): 4.9816 4.9816 4.9816
angles (deg): 90.00 90.00 90.00
Space group Pm-3m (No. 221)
One atom of each set of equivalent atoms:
Si 0.0000 0.0000 0.0000 (multiplicity 1)
Pt 0.0000 0.5000 0.5000 (multiplicity 3)
I 0.5000 0.5000 0.5000 (multiplicity 1)

Most stable pick: w. Distance to second place: 93.3 kJ/mol of atoms.

--- w ---
A relaxed structure of Sm4Pt2I5. Source: Alexandria, functional PBE-GGA.

a b c (Å): 4.0632 9.6389 19.5966
angles (deg): 90.00 90.00 90.00
Space group Immm (No. 71)
One atom of each set of equivalent atoms:
Sm 0.0000 0.0000 0.1498 (multiplicity 4)
Sm 0.0000 0.2936 0.5000 (multiplicity 4)
Pt 0.0000 0.0000 0.2846 (multiplicity 4)
I 0.0000 0.2490 0.3438 (multiplicity 8)
I 0.0000 0.5000 0.0000 (multiplicity 2)

--- x ---
A relaxed structure of Sm4Pt2I5. Source: Alexandria, functional PBE-GGA.

a b c (Å): 4.0629 8.7266 28.6790
angles (deg): 90.00 90.00 90.00
Space group Immm (No. 71)
One atom of each set of equivalent atoms:
Sm 0.0000 0.0000 0.1420 (multiplicity 4)
Sm 0.0000 0.3072 0.5000 (multiplicity 4)
Pt 0.0000 0.0000 0.0472 (multiplicity 4)
I 0.0000 0.2536 0.3270 (multiplicity 8)
I 0.0000 0.5000 0.0000 (multiplicity 2)

Most stable pick: x. Distance to second place: 57.4 kJ/mol of atoms.

--- w ---
A relaxed structure of SnPtI2. Source: Alexandria, functional PBE-GGA.

a b c (Å): 7.0946 7.0946 11.8255
angles (deg): 90.00 90.00 90.00
Space group I-42d (No. 122)
One atom of each set of equivalent atoms:
Sn 0.0000 0.0000 0.0000 (multiplicity 4)
Pt 0.0000 0.0000 0.5000 (multiplicity 4)
I 0.1953 0.2500 0.6250 (multiplicity 8)

--- x ---
A relaxed structure of SnPtI2. Source: Alexandria, functional PBE-GGA.

a b c (Å): 4.8979 4.8979 24.7257
angles (deg): 90.00 90.00 120.00
Space group R-3m (No. 166, hexagonal axes)
One atom of each set of equivalent atoms:
Sn 0.0000 0.0000 0.0000 (multiplicity 3)
Pt 0.0000 0.0000 0.5000 (multiplicity 3)
I 0.0000 0.0000 0.3995 (multiplicity 6)

Most stable pick: w. Distance to second place: 1.2 kJ/mol of atoms.